Below is a geometry-optimized TaNb2Ge2 structure, with properties calculated at the PBE-GGA level.

Structure (POSCAR):
```
TaNb2Ge2
1.0
6.8906 0.0000 0.0000
0.0000 6.8906 0.0000
0.0000 0.0000 3.5649
Ta Nb Ge
2 4 4
Direct
0.0000 0.0000 0.0000
0.5000 0.5000 0.0000
0.1678 0.3322 0.5000
0.3322 0.8322 0.5000
0.6678 0.1678 0.5000
0.8322 0.6678 0.5000
0.1338 0.6338 0.0000
0.3662 0.1338 0.0000
0.6338 0.8662 0.0000
0.8662 0.3662 0.0000
```

Values from the calculation:
DOS at the Fermi energy ... 7.254 states/eV/cell
ΔE_f ... -407 meV per atom
Space-group type ... P4/mbm